Computed, not measured: MgMnH4 after structural relaxation at the PBE level of DFT.

Space-group type ... C2/m, No. 12
Total energy ... -24.49 eV/cell

Unit cell a=3.115 b=3.115 c=4.930 alpha=108.38 beta=108.38 gamma=60.19
Fractional coordinates of all 6 atoms:
Mg: 0.000 0.000 0.000
Mn: 0.500 0.500 0.500
H: 0.192 0.192 0.576
H: 0.383 0.383 0.148
H: 0.617 0.617 0.852
H: 0.808 0.808 0.424

---

Computed, not measured: LaMoP3 after structural relaxation at the PBE level of DFT.

Space-group type ... Pm-3m, No. 221
Energy above the most stable polymorph in this dataset ... 0 meV/atom
Calculated formation energy ... -0.43 eV per atom

Unit cell a=4.726 b=4.726 c=4.726 alpha=90.00 beta=90.00 gamma=90.00
Fractional coordinates of all 5 atoms:
La: 0.000 0.000 0.000
Mo: 0.500 0.500 0.500
P: 0.000 0.500 0.500
P: 0.500 0.000 0.500
P: 0.500 0.500 0.000

---

Computed, not measured: LiMg2Br2 after structural relaxation at the PBE level of DFT.

Space-group type ... P4/mbm, No. 127
Energy above the most stable polymorph in this dataset ... 0 meV/atom
Raw formation energy ... -628.0 meV/atom

Unit cell a=6.990 b=6.990 c=5.593 alpha=90.00 beta=90.00 gamma=90.00
Fractional coordinates of all 10 atoms:
Li: 0.000 0.000 0.000
Li: 0.500 0.500 0.000
Mg: 0.166 0.334 0.500
Mg: 0.334 0.834 0.500
Mg: 0.666 0.166 0.500
Mg: 0.834 0.666 0.500
Br: 0.190 0.310 0.000
Br: 0.310 0.810 0.000
Br: 0.690 0.190 0.000
Br: 0.810 0.690 0.000

---

Computed, not measured: LiAc2AgHg6 after structural relaxation at the PBE level of DFT.

Space-group type ... P-1, No. 2
Calculated formation energy ... -0.27 eV per atom

Unit cell a=5.826 b=7.049 c=7.329 alpha=86.30 beta=73.17 gamma=72.30
Fractional coordinates of all 10 atoms:
Li: 0.000 0.000 0.000
Ac: 0.478 0.262 0.713
Ac: 0.522 0.738 0.287
Ag: 0.000 0.500 0.500
Hg: 0.003 0.142 0.329
Hg: 0.142 0.599 0.092
Hg: 0.499 0.769 0.772
Hg: 0.501 0.231 0.228
Hg: 0.858 0.401 0.908
Hg: 0.997 0.858 0.671